11
Lattice="4.048 0.000 0.000 -0.001 5.968 -3.445 0.000 -0.001 6.892" Properties=species:S:1:pos:R:3 comment="V2HgF8, relaxed, DFT PBE+U" volume_a3_per_cell=166.5 magnetic_moment_mub_per_fu=4.0 crystal_system=trigonal final_energy_ev_per_atom=-5.08 sg="P-3, No. 147" pbc="T T T"
F 0.979 3.978 0.000
F 3.068 1.989 3.446
F 3.008 4.912 -1.633
F 1.039 1.041 1.821
F 1.039 3.870 3.438
F 1.039 1.055 5.080
F 3.008 4.926 1.625
F 3.008 2.097 0.009
Hg 0.000 -0.001 6.892
V 1.057 1.989 3.446
V 2.990 3.978 0.000